Record 1
Here is a relaxed Ba5Co5ClO13 crystal from Alexandria via LeMat-Bulk. Energies are from PBE+U.

Summary:
Final energy: -5.9491 eV per atom
Volume: 350.5 Å³/f.u.
DOS at the Fermi energy: 17.02 states/eV per cell

Cell lengths 5.727, 5.727, 24.679 Å; angles 90.00, 90.00, 120.00 degrees
Last column: magnetic moment on the atom in μB.
Fractional positions:
Ba1 0.333 0.667 0.538  0.00
Ba2 0.667 0.333 0.038  0.00
Ba3 0.667 0.333 0.462  0.00
Ba4 0.333 0.667 0.962  0.00
Ba5 0.333 0.667 0.128  0.00
Ba6 0.667 0.333 0.628  0.00
Ba7 0.667 0.333 0.872  0.00
Ba8 0.333 0.667 0.372  0.00
Ba9 0.000 0.000 0.750  0.01
Ba10 0.000 0.000 0.250  0.01
Co1 0.667 0.333 0.176  2.99
Co2 0.000 0.000 0.000  0.23
Co3 0.333 0.667 0.676  2.99
Co4 0.000 0.000 0.500  0.23
Co5 0.667 0.333 0.324  2.99
Co6 0.333 0.667 0.824  2.99
Co7 0.000 0.000 0.898  0.35
Co8 0.000 0.000 0.398  0.35
Co9 0.000 0.000 0.102  0.35
Co10 0.000 0.000 0.602  0.35
Cl1 0.667 0.333 0.750  0.00
Cl2 0.333 0.667 0.250  0.00
O1 0.667 0.333 0.250  0.45
O2 0.333 0.667 0.750  0.45
O3 0.146 0.292 0.051  0.03
O4 0.708 0.854 0.051  0.03
O5 0.146 0.854 0.051  0.03
O6 0.854 0.146 0.551  0.03
O7 0.854 0.146 0.949  0.03
O8 0.854 0.708 0.551  0.03
O9 0.292 0.146 0.551  0.03
O10 0.708 0.854 0.449  0.03
O11 0.146 0.292 0.449  0.03
O12 0.854 0.708 0.949  0.03
O13 0.292 0.146 0.949  0.03
O14 0.146 0.854 0.449  0.03
O15 0.838 0.676 0.150  0.33
O16 0.324 0.162 0.150  0.33
O17 0.838 0.162 0.150  0.33
O18 0.162 0.838 0.650  0.33
O19 0.162 0.838 0.850  0.33
O20 0.162 0.324 0.650  0.33
O21 0.676 0.838 0.650  0.33
O22 0.324 0.162 0.350  0.33
O23 0.838 0.162 0.350  0.33
O24 0.676 0.838 0.850  0.33
O25 0.838 0.676 0.350  0.33
O26 0.162 0.324 0.850  0.33

---

Record 2
Here is a relaxed Ba7V6CoCl4O21 crystal from Alexandria via LeMat-Bulk. Energies are from PBE+U.

Summary:
Final energy: -6.8409 eV per atom
Volume: 690.3 Å³/f.u.
DOS at the Fermi energy: 0.00 states/eV per cell

Cell lengths 10.064, 10.064, 15.046 Å; angles 90.00, 90.00, 115.04 degrees
Last column: magnetic moment on the atom in μB.
Fractional positions:
Ba1 0.850 0.540 0.750  0.00
Ba2 0.460 0.150 0.250  0.00
Ba3 0.150 0.460 0.250  0.00
Ba4 0.540 0.850 0.750  0.00
Ba5 0.838 0.550 0.039  0.00
Ba6 0.450 0.162 0.961  0.00
Ba7 0.838 0.550 0.461  0.00
Ba8 0.450 0.162 0.539  0.00
Ba9 0.162 0.450 0.961  0.00
Ba10 0.550 0.838 0.039  0.00
Ba11 0.162 0.450 0.539  0.00
Ba12 0.550 0.838 0.461  0.00
Ba13 0.858 0.858 0.250  0.00
Ba14 0.142 0.142 0.750  0.00
V1 0.494 0.494 0.862  0.00
V2 0.506 0.506 0.138  0.00
V3 0.494 0.494 0.638  0.00
V4 0.506 0.506 0.362  0.00
V5 0.170 0.828 0.132  0.01
V6 0.172 0.830 0.868  0.01
V7 0.170 0.828 0.368  0.01
V8 0.172 0.830 0.632  0.01
V9 0.830 0.172 0.868  0.01
V10 0.828 0.170 0.132  0.01
V11 0.830 0.172 0.632  0.01
V12 0.828 0.170 0.368  0.01
Co1 0.000 0.000 0.000  2.74
Co2 0.000 0.000 0.500  2.74
Cl1 0.815 0.815 0.897  0.04
Cl2 0.185 0.185 0.103  0.04
Cl3 0.815 0.815 0.603  0.04
Cl4 0.185 0.185 0.397  0.04
Cl5 0.843 0.517 0.250  0.00
Cl6 0.483 0.157 0.750  0.00
Cl7 0.157 0.483 0.750  0.00
Cl8 0.517 0.843 0.250  0.00
O1 0.560 0.560 0.750  0.00
O2 0.440 0.440 0.250  0.00
O3 0.335 0.335 0.873  0.00
O4 0.665 0.665 0.127  0.00
O5 0.335 0.335 0.627  0.00
O6 0.665 0.665 0.373  0.00
O7 0.334 0.943 0.087  0.00
O8 0.057 0.666 0.913  0.00
O9 0.334 0.943 0.413  0.00
O10 0.057 0.666 0.587  0.00
O11 0.666 0.057 0.913  0.00
O12 0.943 0.334 0.087  0.00
O13 0.666 0.057 0.587  0.00
O14 0.943 0.334 0.413  0.00
O15 0.172 0.881 0.250  0.00
O16 0.119 0.828 0.750  0.00
O17 0.828 0.119 0.750  0.00
O18 0.881 0.172 0.250  0.00
O19 0.016 0.841 0.086  0.03
O20 0.159 0.984 0.914  0.03
O21 0.016 0.841 0.414  0.03
O22 0.159 0.984 0.586  0.03
O23 0.984 0.159 0.914  0.03
O24 0.841 0.016 0.086  0.03
O25 0.984 0.159 0.586  0.03
O26 0.841 0.016 0.414  0.03
O27 0.143 0.651 0.120  0.00
O28 0.349 0.857 0.880  0.00
O29 0.143 0.651 0.380  0.00
O30 0.349 0.857 0.620  0.00
O31 0.857 0.349 0.880  0.00
O32 0.651 0.143 0.120  0.00
O33 0.857 0.349 0.620  0.00
O34 0.651 0.143 0.380  0.00
O35 0.631 0.460 0.909  0.00
O36 0.540 0.369 0.091  0.00
O37 0.631 0.460 0.591  0.00
O38 0.540 0.369 0.409  0.00
O39 0.369 0.540 0.091  0.00
O40 0.460 0.631 0.909  0.00
O41 0.369 0.540 0.409  0.00
O42 0.460 0.631 0.591  0.00